Version i
Below is Pr3Tm13 after structural relaxation, with properties calculated at the PBE level.

calculated density	8759	kg/m3
DOS(E_F)	1.22	states/eV per atom
magnetization	0.0	μB per formula unit

Cell lengths 9.951, 9.965, 10.013 Å; angles 90.00, 90.00, 90.00 degrees
Space group Amm2 (No. 38)
Symmetry-distinct sites (fractional):
Pr 0.000 0.000 0.000 [2 per cell]
Pr 0.251 0.000 0.254 [4 per cell]
Tm 0.000 0.000 0.505 [2 per cell]
Tm 0.000 0.247 0.753 [4 per cell]
Tm 0.252 0.249 0.503 [8 per cell]
Tm 0.253 0.000 0.751 [4 per cell]
Tm 0.500 0.000 0.001 [2 per cell]
Tm 0.500 0.000 0.506 [2 per cell]
Tm 0.500 0.248 0.753 [4 per cell]

---

Version ii
Below is Pr3Tm13 after structural relaxation, with properties calculated at the PBE level.

calculated density	8618	kg/m3
DOS(E_F)	1.69	states/eV per atom
magnetization	0.0	μB per formula unit

Cell lengths 7.215, 11.220, 12.467 Å; angles 90.00, 90.00, 90.00 degrees
Space group Amm2 (No. 38)
Symmetry-distinct sites (fractional):
Pr 0.000 0.000 0.000 [2 per cell]
Pr 0.253 0.000 0.746 [4 per cell]
Tm 0.000 0.000 0.495 [2 per cell]
Tm 0.000 0.248 0.165 [4 per cell]
Tm 0.250 0.000 0.250 [4 per cell]
Tm 0.251 0.246 0.416 [8 per cell]
Tm 0.500 0.000 0.001 [2 per cell]
Tm 0.500 0.000 0.495 [2 per cell]
Tm 0.500 0.245 0.165 [4 per cell]

---

Which is the most stable structure? version ii is the most stable.

---

Version i
Below is Pr5Tm7 after structural relaxation, with properties calculated at the PBE level.

calculated density	7866	kg/m3
DOS(E_F)	1.52	states/eV per atom
magnetization	0.0	μB per formula unit

Cell lengths 9.715, 5.702, 14.763 Å; angles 90.00, 103.04, 90.00 degrees
Space group C2/m (No. 12)
Symmetry-distinct sites (fractional):
Pr 0.000 0.000 0.000 [2 per cell]
Pr 0.108 0.500 0.799 [4 per cell]
Pr 0.141 0.000 0.435 [4 per cell]
Tm 0.000 0.500 0.500 [2 per cell]
Tm 0.061 0.000 0.215 [4 per cell]
Tm 0.190 0.500 0.084 [4 per cell]
Tm 0.232 0.000 0.673 [4 per cell]

---

Version ii
Below is Pr5Tm7 after structural relaxation, with properties calculated at the PBE level.

calculated density	8050	kg/m3
DOS(E_F)	1.31	states/eV per atom
magnetization	0.0	μB per formula unit

Cell lengths 18.618, 3.607, 13.152 Å; angles 90.00, 118.17, 90.00 degrees
Space group C2/m (No. 12)
Symmetry-distinct sites (fractional):
Pr 0.000 0.000 0.000 [2 per cell]
Pr 0.164 0.000 0.496 [4 per cell]
Pr 0.195 0.500 0.752 [4 per cell]
Tm 0.000 0.500 0.500 [2 per cell]
Tm 0.028 0.000 0.751 [4 per cell]
Tm 0.137 0.500 0.247 [4 per cell]
Tm 0.166 0.500 0.996 [4 per cell]

---

Which is the most stable structure? version ii is the most stable.